! GGA-PBEsol Ba2Ge2Pb, relaxed; values from VASP
&SYSTEM
  ibrav = 0, nat = 10, ntyp = 3
/
ATOMIC_SPECIES
Ba 137.33 Ba.upf
Ge 72.64 Ge.upf
Pb 207.20 Pb.upf
CELL_PARAMETERS angstrom
5.023 0.000 0.000
0.000 7.864 0.000
0.000 0.000 7.864
ATOMIC_POSITIONS angstrom
Ba 2.511 6.443 2.511
Ge 0.000 3.052 6.984
Ge 0.000 6.984 4.812
Ge 0.000 0.880 3.052
Ba 2.511 1.421 5.353
Pb 0.000 0.000 0.000
Ba 2.511 5.353 6.443
Ge 0.000 4.812 0.880
Pb 0.000 3.932 3.932
Ba 2.511 2.511 1.421
! - energy of formation (eV per atom) = -0.52
! - crystal system = tetragonal

! GGA-PBEsol LiTl2Cd, relaxed; values from VASP
&SYSTEM
  ibrav = 0, nat = 4, ntyp = 3
/
ATOMIC_SPECIES
Tl 204.38 Tl.upf
Li 6.94 Li.upf
Cd 112.41 Cd.upf
CELL_PARAMETERS angstrom
3.489 0.000 0.000
0.000 4.042 0.000
0.000 0.000 6.546
ATOMIC_POSITIONS angstrom
Tl 0.000 0.000 4.851
Li 1.744 2.021 3.273
Cd 1.744 2.021 0.000
Tl 0.000 0.000 1.695
! - energy of formation (eV per atom) = -0.09
! - crystal system = orthorhombic

! GGA-PBEsol Li5NiP3O11, relaxed; values from VASP
&SYSTEM
  ibrav = 0, nat = 40, ntyp = 4
/
ATOMIC_SPECIES
O 16.00 O.upf
Li 6.94 Li.upf
P 30.97 P.upf
Ni 58.69 Ni.upf
CELL_PARAMETERS angstrom
-3.396 3.531 1.727
-5.660 -1.846 -5.870
-4.419 -6.629 5.070
ATOMIC_POSITIONS angstrom
O -3.827 -0.425 -0.949
O -7.224 0.695 -3.966
Li -4.784 -1.502 -2.407
O -5.286 -1.997 2.041
Li -6.058 -4.093 1.769
O -6.588 -4.621 -0.026
O -6.766 -5.829 2.427
O -7.638 -2.691 1.772
P -6.724 -1.478 1.929
Ni -3.907 -1.549 3.399
O -6.299 -4.153 -2.401
Li -8.691 -3.442 3.335
O -7.175 -0.791 3.329
O -6.250 -5.638 4.893
O -6.708 0.886 -1.500
O -10.837 -2.990 -0.941
O -9.461 -1.315 -3.030
O -4.796 2.385 0.419
O -2.638 -1.954 1.868
Li -5.605 -3.845 5.094
P -6.780 -3.798 -3.911
Li -9.389 -2.828 0.623
O -6.886 -0.322 0.954
O -5.837 -2.252 -0.844
P -2.398 0.053 -1.285
Li -7.870 -1.098 -4.166
Ni 0.000 0.000 0.000
P -6.750 -3.466 -1.001
O -8.679 -7.329 0.509
P -6.695 -1.145 4.839
Li -8.162 -5.564 1.064
O -6.263 -2.356 -4.067
P -11.076 -4.996 2.213
O -7.212 -2.587 4.995
Li -7.416 -0.850 -0.841
O -4.014 -3.628 3.957
O -8.189 -2.947 -1.113
Li -4.086 -2.116 0.305
Li -5.313 0.620 -0.137
O -9.648 -4.518 1.877
! - energy relative to the elements, uncorrected (kcal/mol of atoms) = -49.84
! - crystal system = triclinic

! GGA-PBEsol K2Cl, relaxed; values from VASP
&SYSTEM
  ibrav = 0, nat = 6, ntyp = 2
/
ATOMIC_SPECIES
Cl 35.45 Cl.upf
K 39.10 K.upf
CELL_PARAMETERS angstrom
4.437 0.000 0.000
0.000 6.394 0.000
-2.218 0.000 9.215
ATOMIC_POSITIONS angstrom
Cl 2.218 4.795 5.589
K 0.000 4.795 7.850
K 2.218 1.598 5.782
K 0.000 4.795 3.433
Cl 0.000 1.598 3.626
K 2.218 1.598 1.365
! - offset from the most stable computed form (eV/f.u.) = 0.05
! - energy relative to the elements, uncorrected (kcal/mol of atoms) = -28.08
! - crystal system = orthorhombic

! GGA-PBEsol MgCrF6, relaxed; values from VASP
&SYSTEM
  ibrav = 0, nat = 8, ntyp = 3
/
ATOMIC_SPECIES
F 19.00 F.upf
Cr 52.00 Cr.upf
Mg 24.30 Mg.upf
CELL_PARAMETERS angstrom
-1.140 -1.211 -4.811
-4.143 -2.780 -1.011
-4.142 2.350 -2.303
ATOMIC_POSITIONS angstrom
F -4.851 -2.036 -2.711
F -4.681 -2.179 -5.279
Cr -4.713 -0.821 -4.063
F -2.895 -0.892 -3.939
Mg 0.000 0.000 0.000
F -4.574 0.395 -5.415
F -6.531 -0.750 -4.187
F -4.744 0.538 -2.847
! - energy relative to the elements, uncorrected (kcal/mol of atoms) = -66.02
! - crystal system = trigonal

! GGA-PBEsol KIr3, relaxed; values from VASP
&SYSTEM
  ibrav = 0, nat = 4, ntyp = 2
/
ATOMIC_SPECIES
K 39.10 K.upf
Ir 192.22 Ir.upf
CELL_PARAMETERS angstrom
2.687 0.000 0.000
0.000 4.923 0.000
-1.344 -2.461 5.152
ATOMIC_POSITIONS angstrom
K 0.000 2.461 0.000
Ir 1.344 0.000 0.000
Ir 0.000 0.000 2.227
Ir 1.344 2.461 2.925
! - offset from the most stable computed form (eV/f.u.) = 0.00
! - energy of formation (eV per atom) = 0.84
! - crystal system = orthorhombic

! GGA-PBEsol YMn2Co, relaxed; values from VASP
&SYSTEM
  ibrav = 0, nat = 4, ntyp = 3
/
ATOMIC_SPECIES
Mn 54.94 Mn.upf
Y 88.91 Y.upf
Co 58.93 Co.upf
CELL_PARAMETERS angstrom
2.995 0.000 0.000
0.000 2.995 0.000
0.000 0.000 6.466
ATOMIC_POSITIONS angstrom
Mn 0.000 0.000 0.013
Mn 1.497 1.497 1.223
Y 0.000 0.000 3.284
Co 1.497 1.497 5.179
! - offset from the most stable computed form (eV/f.u.) = 0.00
! - energy of formation (eV per atom) = 0.21
! - crystal system = tetragonal

! GGA-PBEsol NaPt3, relaxed; values from VASP
&SYSTEM
  ibrav = 0, nat = 4, ntyp = 2
/
ATOMIC_SPECIES
Na 22.99 Na.upf
Pt 195.08 Pt.upf
CELL_PARAMETERS angstrom
-1.624 2.146 0.049
-3.780 -2.864 0.107
2.848 0.354 4.962
ATOMIC_POSITIONS angstrom
Na -1.890 -1.432 0.053
Pt -0.812 1.073 0.024
Pt 0.067 -0.002 2.314
Pt -2.624 -0.361 2.804
! - energy of formation (eV per atom) = 0.02
! - crystal system = orthorhombic

! GGA-PBEsol K2CdFe, relaxed; values from VASP
&SYSTEM
  ibrav = 0, nat = 4, ntyp = 3
/
ATOMIC_SPECIES
K 39.10 K.upf
Cd 112.41 Cd.upf
Fe 55.84 Fe.upf
CELL_PARAMETERS angstrom
4.546 0.000 0.000
0.000 4.543 0.000
-2.273 -2.271 5.432
ATOMIC_POSITIONS angstrom
K 0.000 0.000 2.711
Cd 2.273 0.000 0.000
Fe 0.000 2.271 0.000
K 2.273 2.271 2.721
! - energy of formation (eV per atom) = 0.87
! - crystal system = orthorhombic

! GGA-PBEsol Ba2HgSb, relaxed; values from VASP
&SYSTEM
  ibrav = 0, nat = 4, ntyp = 3
/
ATOMIC_SPECIES
Ba 137.33 Ba.upf
Hg 200.59 Hg.upf
Sb 121.76 Sb.upf
CELL_PARAMETERS angstrom
4.833 0.000 0.000
0.000 4.965 0.000
-2.417 0.000 6.274
ATOMIC_POSITIONS angstrom
Ba 2.417 2.482 6.170
Ba 0.000 0.000 3.290
Hg 2.417 0.000 0.531
Sb 2.417 2.482 2.557
! - offset from the most stable computed form (eV/f.u.) = 0.00
! - energy relative to the elements, uncorrected (kcal/mol of atoms) = -18.87
! - crystal system = orthorhombic

! GGA-PBEsol NaLiSb2I, relaxed; values from VASP
&SYSTEM
  ibrav = 0, nat = 5, ntyp = 4
/
ATOMIC_SPECIES
I 126.90 I.upf
Li 6.94 Li.upf
Na 22.99 Na.upf
Sb 121.76 Sb.upf
CELL_PARAMETERS angstrom
5.379 0.000 0.000
0.000 5.379 0.000
0.000 0.000 5.970
ATOMIC_POSITIONS angstrom
I 0.000 0.000 2.985
Li 2.690 2.690 2.985
Na 0.000 0.000 0.000
Sb 2.690 0.000 0.000
Sb 0.000 2.690 0.000
! - energy relative to the elements, uncorrected (kcal/mol of atoms) = 8.63
! - crystal system = tetragonal

! GGA-PBEsol CaMnTe2, relaxed; values from VASP
&SYSTEM
  ibrav = 0, nat = 4, ntyp = 3
/
ATOMIC_SPECIES
Te 127.60 Te.upf
Mn 54.94 Mn.upf
Ca 40.08 Ca.upf
CELL_PARAMETERS angstrom
-0.121 2.115 -3.533
-0.045 -3.883 -2.323
-6.495 -1.101 1.965
ATOMIC_POSITIONS angstrom
Te -0.745 -0.888 -2.908
Mn -2.489 -1.958 -1.087
Ca -6.212 1.017 -1.579
Te -3.820 -0.025 0.116
! - offset from the most stable computed form (eV/f.u.) = 0.36
! - energy relative to the elements, uncorrected (kcal/mol of atoms) = -15.13
! - crystal system = orthorhombic

Number 1: density 6.7 g/cm³. Number 2: density 9.5 g/cm³. Number 3: density 3.0 g/cm³. Number 4: density 1.4 g/cm³. Number 5: density 3.2 g/cm³. Number 6: density 15.0 g/cm³. Number 7: density 7.4 g/cm³. Number 8: density 15.7 g/cm³. Number 9: density 3.6 g/cm³. Number 10: density 6.6 g/cm³. Number 11: density 3.8 g/cm³. Number 12: density 4.8 g/cm³.